Ba2CaSb | meta-GGA SCAN | single point on PBEsol structure

Calculated values
DOS(E_F): 1.61 states/eV/f.u.
Magnetic moment: 0.9 μB/f.u.
Energy: -128.7 eV for the cell shown
Calculated volume: 42.87 Å³/atom

Geometry as POSCAR:
```
Ba2CaSb
1.0
4.915 0.000 0.000
0.000 5.051 0.000
0.000 -2.526 6.907
Sb Ca Ba
1 1 2
Cartesian
2.458 2.526 2.405 Sb
0.000 2.526 4.266 Ca
0.000 0.000 1.498 Ba
2.458 0.000 5.715 Ba
```